# 1
# Mg2AlVO6 (PBE with a Hubbard U, relaxed)
# raw total energy	-6.876	eV/atom
# crystal system	trigonal
# theoretical density	3.77	g/cm³
data_Mg2AlVO6
_symmetry_space_group_name_H-M 'R 3'
_symmetry_Int_Tables_number 146
_symmetry_space_group_name_Hall 'R 3'
_cell_length_a 5.0356
_cell_length_b 5.0356
_cell_length_c 13.3765
_cell_angle_alpha 90.00
_cell_angle_beta 90.00
_cell_angle_gamma 120.00
loop_
_atom_site_label
_atom_site_type_symbol
_atom_site_fract_x
_atom_site_fract_y
_atom_site_fract_z
_atom_site_occupancy
Mg1 Mg 0.0000 0.0000 0.0000 1
Mg2 Mg 0.0000 0.0000 0.4926 1
Al1 Al 0.0000 0.0000 0.7129 1
V1 V 0.0000 0.0000 0.2096 1
O1 O 0.0516 0.7039 0.7760 1
O2 O 0.0544 0.3397 0.2761 1

---

# 2
# Mg6AlVO8 (PBE with a Hubbard U, relaxed)
# raw total energy	-6.166	eV/atom
# relative energy among the computed polymorphs	14	meV per atom
# crystal system	tetragonal
# theoretical density	3.63	g/cm³
data_Mg6AlVO8
_symmetry_space_group_name_H-M 'P 4/m m m'
_symmetry_Int_Tables_number 123
_symmetry_space_group_name_Hall '-P 4 2'
_cell_length_a 4.3319
_cell_length_b 4.3319
_cell_length_c 8.5662
_cell_angle_alpha 90.00
_cell_angle_beta 90.00
_cell_angle_gamma 90.00
loop_
_atom_site_label
_atom_site_type_symbol
_atom_site_fract_x
_atom_site_fract_y
_atom_site_fract_z
_atom_site_occupancy
Mg1 Mg 0.0000 0.0000 0.0000 1
Mg2 Mg 0.0000 0.5000 0.2480 1
Mg3 Mg 0.5000 0.5000 0.0000 1
Al1 Al 0.0000 0.0000 0.5000 1
V1 V 0.5000 0.5000 0.5000 1
O1 O 0.0000 0.0000 0.2562 1
O2 O 0.0000 0.5000 0.0000 1
O3 O 0.0000 0.5000 0.5000 1
O4 O 0.5000 0.5000 0.2441 1

---

- What is the formula in the second record?
  Mg6AlVO8

---

- What is the formula in the first record?
  Mg2AlVO6

---

- Which of these has the lowest theoretical density?
  Mg6AlVO8

---

- What is the theoretical density in the second record?
  3.63 g/cm³